Record 1
Below is a relaxed Tb4Tm2Se9 crystal, with properties calculated at the PBE level.

abc: 7.1899 7.1922 19.4515
angles: 89.99 89.98 60.03
Closest atoms and distances in Å follow each position.
Atoms (fractional coordinates):
Tb  0.1657  0.1668  0.1812  6 Se 2.85-2.92
Tb  0.1662  0.1667  0.9846  6 Se 2.85-2.93
Tb  0.1670  0.1665  0.4842  6 Se 2.85-2.93
Tb  0.1677  0.1663  0.6814  6 Se 2.85-2.92
Tb  0.8323  0.8337  0.3186  6 Se 2.85-2.92
Tb  0.8330  0.8335  0.5158  6 Se 2.85-2.93
Tb  0.8338  0.8333  0.0154  6 Se 2.85-2.93
Tb  0.8343  0.8332  0.8188  6 Se 2.85-2.92
Tm  0.4990  0.5013  0.1534  6 Se 2.81-2.87
Tm  0.4997  0.4990  0.3469  6 Se 2.81-2.87
Tm  0.5003  0.5010  0.6531  6 Se 2.81-2.87
Tm  0.5010  0.4987  0.8466  6 Se 2.81-2.87
Se  0.1426  0.5303  0.4167  1 Tm 2.81, 3 Tb 2.85-2.93
Se  0.1447  0.8263  0.9166  1 Tm 2.82, 3 Tb 2.85-2.93
Se  0.1726  0.4710  0.0834  1 Tm 2.81, 3 Tb 2.85-2.93
Se  0.1732  0.8571  0.5833  1 Tm 2.81, 3 Tb 2.86-2.93
Se  0.1985  0.8019  0.2503  2 Tb 2.85, 2 Tm 2.87
Se  0.1990  0.5003  0.7499  2 Tb 2.85, 2 Tm 2.87
Se  0.4698  0.1746  0.5831  1 Tm 2.81, 3 Tb 2.85-2.93
Se  0.4702  0.8568  0.0832  1 Tm 2.81, 3 Tb 2.86-2.93
Se  0.4989  0.1989  0.2499  2 Tb 2.85, 2 Tm 2.87
Se  0.5011  0.8011  0.7501  2 Tb 2.85, 2 Tm 2.87
Se  0.5298  0.1432  0.9168  1 Tm 2.81, 3 Tb 2.86-2.93
Se  0.5302  0.8254  0.4169  1 Tm 2.81, 3 Tb 2.85-2.93
Se  0.8010  0.4997  0.2501  2 Tb 2.85, 2 Tm 2.87
Se  0.8015  0.1981  0.7497  2 Tb 2.85, 2 Tm 2.87
Se  0.8268  0.1429  0.4167  1 Tm 2.81, 3 Tb 2.86-2.93
Se  0.8274  0.5290  0.9166  1 Tm 2.81, 3 Tb 2.85-2.93
Se  0.8553  0.1737  0.0834  1 Tm 2.82, 3 Tb 2.85-2.93
Se  0.8574  0.4697  0.5833  1 Tm 2.81, 3 Tb 2.85-2.93

VASP energy (hartree per atom): -0.2123
Magnetic moment (μB/cell): 0.0
V (Å³ per cell): 871.3
Crystal system: triclinic
Raw formation energy (eV per atom): -1.855

---

Record 2
Below is a relaxed La7Ga2Ru2 crystal, with properties calculated at the PBE level.

abc: 9.0853 9.0853 9.0853
angles: 151.10 70.84 116.92
Closest atoms and distances in Å follow each position.
Atoms (fractional coordinates):
La  0.0000  0.0000  0.0000  3 Ru 2.97-3.09
La  0.0385  0.3593  0.6793  1 Ru 2.72
La  0.1560  0.7791  0.3769  2 Ru 2.94
La  0.4022  0.7791  0.6231  2 Ru 2.94
La  0.4954  0.5983  0.8970  3 Ru 3.01-3.33, 1 La 3.05, 2 Ga 3.33
La  0.6800  0.3593  0.3207  1 Ru 2.72
La  0.7013  0.5983  0.1030  3 Ru 3.01-3.33, 1 La 3.05, 2 Ga 3.33
Ga  0.2941  0.0601  0.2340  6 La 3.07-3.41
Ga  0.8262  0.0601  0.7660  6 La 3.07-3.41
Ru  0.3255  0.3255  0.0000  7 La 2.94-3.09
Ru  0.7982  0.2982  0.5000  4 La 2.72-2.97

VASP energy (hartree per atom): -0.2099
Magnetic moment (μB/cell): 0.0
V (Å³ per cell): 319.1
Crystal system: orthorhombic
Energy relative to the elements (eV/f.u.): -3.7

---

Record 3
Below is a relaxed Al7Ir6 crystal, with properties calculated at the PBE level.

abc: 9.1326 9.1326 9.1326
angles: 31.93 31.93 31.93
Closest atoms and distances in Å follow each position.
Atoms (fractional coordinates):
Al  0.0000  0.0000  0.0000  6 Al 2.60, 6 Ir 2.90
Al  0.0849  0.0849  0.5813  5 Al 2.49-2.60, 5 Ir 2.58-2.65
Al  0.0849  0.5813  0.0849  5 Al 2.49-2.60, 5 Ir 2.58-2.65
Al  0.4187  0.9151  0.9151  5 Al 2.49-2.60, 5 Ir 2.58-2.65
Al  0.5813  0.0849  0.0849  5 Al 2.49-2.60, 5 Ir 2.58-2.65
Al  0.9151  0.4187  0.9151  5 Al 2.49-2.60, 5 Ir 2.58-2.65
Al  0.9151  0.9151  0.4187  5 Al 2.49-2.60, 5 Ir 2.58-2.65
Ir  0.1681  0.1681  0.1681  6 Al 2.58-2.65
Ir  0.3327  0.3327  0.3327  3 Al 2.58
Ir  0.4491  0.4491  0.4491  1 Ir 2.65, 6 Al 2.65
Ir  0.5509  0.5509  0.5509  1 Ir 2.65, 6 Al 2.65
Ir  0.6673  0.6673  0.6673  3 Al 2.58
Ir  0.8319  0.8319  0.8319  6 Al 2.58-2.65

VASP energy (hartree per atom): -0.2350
Magnetic moment (μB/cell): 0.2
V (Å³ per cell): 189.3
Crystal system: trigonal
Energy relative to the elements (eV/f.u.): -3.8

---

Record 4
Below is a relaxed LiTaPd3 crystal, with properties calculated at the PBE level.

abc: 7.3354 7.3354 4.9726
angles: 100.29 100.29 138.53
Closest atoms and distances in Å follow each position.
Atoms (fractional coordinates):
Li  0.2484  0.7516  0.7500  2 Pd 2.20
Li  0.7516  0.2484  0.2500  2 Pd 2.20
Ta  0.0786  0.9214  0.2500  8 Pd 2.66-2.97
Ta  0.9214  0.0786  0.7500  8 Pd 2.66-2.97
Pd  0.0000  0.5000  0.0000  2 Li 2.20
Pd  0.2412  0.4081  0.4015  3 Ta 2.66-2.97, 2 Li 2.69-2.75, 4 Pd 2.78-2.93
Pd  0.4081  0.2412  0.9015  3 Ta 2.66-2.97, 2 Li 2.69-2.75, 4 Pd 2.78-2.93
Pd  0.5000  0.0000  0.5000  2 Li 2.20
Pd  0.5919  0.7588  0.0985  3 Ta 2.66-2.97, 2 Li 2.69-2.75, 4 Pd 2.78-2.93
Pd  0.7588  0.5919  0.5985  3 Ta 2.66-2.97, 2 Li 2.69-2.75, 4 Pd 2.78-2.93

VASP energy (hartree per atom): -0.2252
Magnetic moment (μB/cell): 0.0
V (Å³ per cell): 153.0
Crystal system: monoclinic
Energy relative to the elements (eV/f.u.): -1.3

---

Record 5
Below is a relaxed V2SI crystal, with properties calculated at the PBE level.

abc: 3.8610 3.8610 20.0791
angles: 90.00 90.00 120.00
Closest atoms and distances in Å follow each position.
Atoms (fractional coordinates):
V  0.0000  0.0000  0.1326  3 S 2.33
V  0.0000  0.0000  0.8674  3 S 2.33
V  0.3333  0.6667  0.5341  3 S 2.33
V  0.3333  0.6667  0.7992  3 S 2.33
V  0.6667  0.3333  0.2008  3 S 2.33
V  0.6667  0.3333  0.4659  3 S 2.33
S  0.0000  0.0000  0.5000  6 V 2.33
S  0.3333  0.6667  0.1667  6 V 2.33
S  0.6667  0.3333  0.8333  6 V 2.33
I  0.0000  0.0000  0.0000  2 V 2.66
I  0.3333  0.6667  0.6667  2 V 2.66
I  0.6667  0.3333  0.3333  2 V 2.66

VASP energy (hartree per atom): -0.2288
Magnetic moment (μB/cell): 0.0
V (Å³ per cell): 259.2
Crystal system: trigonal
Raw formation energy (eV per atom): -0.248

---

Record 6
Below is a relaxed Nb12Zn5P3 crystal, with properties calculated at the PBE level.

abc: 12.8853 12.8853 12.8853
angles: 109.47 109.47 109.47
Closest atoms and distances in Å follow each position.
Atoms (fractional coordinates):
Nb  0.0693  0.6406  0.4077  2 P 2.54-2.78, 2 Zn 2.56, 1 Nb 2.64
Nb  0.0693  0.9287  0.6615  2 P 2.54-2.78, 2 Zn 2.56, 1 Nb 2.64
Nb  0.0713  0.2329  0.1406  2 P 2.54-2.78, 2 Zn 2.56, 1 Nb 2.64
Nb  0.0713  0.3385  0.9307  2 P 2.54-2.78, 2 Zn 2.56, 1 Nb 2.64
Nb  0.0923  0.7329  0.6615  2 P 2.54-2.78, 2 Zn 2.56, 1 Nb 2.64
Nb  0.0923  0.8594  0.4307  2 P 2.54-2.78, 2 Zn 2.56, 1 Nb 2.64
Nb  0.1406  0.0713  0.2329  2 P 2.54-2.78, 2 Zn 2.56, 1 Nb 2.64
Nb  0.1406  0.5693  0.9077  2 P 2.54-2.78, 2 Zn 2.56, 1 Nb 2.64
Nb  0.1615  0.2329  0.5923  2 P 2.54-2.78, 2 Zn 2.56, 1 Nb 2.64
Nb  0.1615  0.4287  0.5693  2 P 2.54-2.78, 2 Zn 2.56, 1 Nb 2.64
Nb  0.2329  0.1406  0.0713  2 P 2.54-2.78, 2 Zn 2.56, 1 Nb 2.64
Nb  0.2329  0.5923  0.1615  2 P 2.54-2.78, 2 Zn 2.56, 1 Nb 2.64
Nb  0.2671  0.3385  0.9077  2 P 2.54-2.78, 2 Zn 2.56, 1 Nb 2.64
Nb  0.2671  0.4287  0.3594  2 P 2.54-2.78, 2 Zn 2.56, 1 Nb 2.64
Nb  0.3385  0.9077  0.2671  2 P 2.54-2.78, 2 Zn 2.56, 1 Nb 2.64
Nb  0.3385  0.9307  0.0713  2 P 2.54-2.78, 2 Zn 2.56, 1 Nb 2.64
Nb  0.3594  0.2671  0.4287  2 P 2.54-2.78, 2 Zn 2.56, 1 Nb 2.64
Nb  0.3594  0.5923  0.9307  2 P 2.54-2.78, 2 Zn 2.56, 1 Nb 2.64
Nb  0.4077  0.0693  0.6406  2 P 2.54-2.78, 2 Zn 2.56, 1 Nb 2.64
Nb  0.4077  0.8385  0.7671  2 P 2.54-2.78, 2 Zn 2.56, 1 Nb 2.64
Nb  0.4287  0.3594  0.2671  2 P 2.54-2.78, 2 Zn 2.56, 1 Nb 2.64
Nb  0.4287  0.5693  0.1615  2 P 2.54-2.78, 2 Zn 2.56, 1 Nb 2.64
Nb  0.4307  0.0923  0.8594  2 P 2.54-2.78, 2 Zn 2.56, 1 Nb 2.64
Nb  0.4307  0.8385  0.5713  2 P 2.54-2.78, 2 Zn 2.56, 1 Nb 2.64
Nb  0.5693  0.1615  0.4287  2 P 2.54-2.78, 2 Zn 2.56, 1 Nb 2.64
Nb  0.5693  0.9077  0.1406  2 P 2.54-2.78, 2 Zn 2.56, 1 Nb 2.64
Nb  0.5713  0.4307  0.8385  2 P 2.54-2.78, 2 Zn 2.56, 1 Nb 2.64
Nb  0.5713  0.6406  0.7329  2 P 2.54-2.78, 2 Zn 2.56, 1 Nb 2.64
Nb  0.5923  0.1615  0.2329  2 P 2.54-2.78, 2 Zn 2.56, 1 Nb 2.64
Nb  0.5923  0.9307  0.3594  2 P 2.54-2.78, 2 Zn 2.56, 1 Nb 2.64
Nb  0.6406  0.4077  0.0693  2 P 2.54-2.78, 2 Zn 2.56, 1 Nb 2.64
Nb  0.6406  0.7329  0.5713  2 P 2.54-2.78, 2 Zn 2.56, 1 Nb 2.64
Nb  0.6615  0.0693  0.9287  2 P 2.54-2.78, 2 Zn 2.56, 1 Nb 2.64
Nb  0.6615  0.0923  0.7329  2 P 2.54-2.78, 2 Zn 2.56, 1 Nb 2.64
Nb  0.7329  0.5713  0.6406  2 P 2.54-2.78, 2 Zn 2.56, 1 Nb 2.64
Nb  0.7329  0.6615  0.0923  2 P 2.54-2.78, 2 Zn 2.56, 1 Nb 2.64
Nb  0.7671  0.4077  0.8385  2 P 2.54-2.78, 2 Zn 2.56, 1 Nb 2.64
Nb  0.7671  0.8594  0.9287  2 P 2.54-2.78, 2 Zn 2.56, 1 Nb 2.64
Nb  0.8385  0.5713  0.4307  2 P 2.54-2.78, 2 Zn 2.56, 1 Nb 2.64
Nb  0.8385  0.7671  0.4077  2 P 2.54-2.78, 2 Zn 2.56, 1 Nb 2.64
Nb  0.8594  0.4307  0.0923  2 P 2.54-2.78, 2 Zn 2.56, 1 Nb 2.64
Nb  0.8594  0.9287  0.7671  2 P 2.54-2.78, 2 Zn 2.56, 1 Nb 2.64
Nb  0.9077  0.1406  0.5693  2 P 2.54-2.78, 2 Zn 2.56, 1 Nb 2.64
Nb  0.9077  0.2671  0.3385  2 P 2.54-2.78, 2 Zn 2.56, 1 Nb 2.64
Nb  0.9287  0.6615  0.0693  2 P 2.54-2.78, 2 Zn 2.56, 1 Nb 2.64
Nb  0.9287  0.7671  0.8594  2 P 2.54-2.78, 2 Zn 2.56, 1 Nb 2.64
Nb  0.9307  0.0713  0.3385  2 P 2.54-2.78, 2 Zn 2.56, 1 Nb 2.64
Nb  0.9307  0.3594  0.5923  2 P 2.54-2.78, 2 Zn 2.56, 1 Nb 2.64
Zn  0.0000  0.0000  0.0000  6 Nb 2.56
Zn  0.0000  0.0000  0.5000  6 Nb 2.56
Zn  0.0000  0.5000  0.0000  6 Nb 2.56
Zn  0.0000  0.5000  0.5000  6 Nb 2.56
Zn  0.1250  0.7500  0.8750  4 Nb 2.56
Zn  0.1250  0.8750  0.2500  4 Nb 2.56
Zn  0.2500  0.1250  0.8750  4 Nb 2.56
Zn  0.2500  0.6250  0.3750  4 Nb 2.56
Zn  0.3750  0.2500  0.6250  4 Nb 2.56
Zn  0.3750  0.6250  0.7500  4 Nb 2.56
Zn  0.5000  0.0000  0.0000  6 Nb 2.56
Zn  0.5000  0.0000  0.5000  6 Nb 2.56
Zn  0.5000  0.5000  0.0000  6 Nb 2.56
Zn  0.5000  0.5000  0.5000  6 Nb 2.56
Zn  0.6250  0.3750  0.2500  4 Nb 2.56
Zn  0.6250  0.7500  0.3750  4 Nb 2.56
Zn  0.7500  0.3750  0.6250  4 Nb 2.56
Zn  0.7500  0.8750  0.1250  4 Nb 2.56
Zn  0.8750  0.1250  0.7500  4 Nb 2.56
Zn  0.8750  0.2500  0.1250  4 Nb 2.56
P  0.1250  0.2500  0.3750  8 Nb 2.54-2.78
P  0.1250  0.3750  0.7500  8 Nb 2.54-2.78
P  0.2500  0.3750  0.1250  8 Nb 2.54-2.78
P  0.2500  0.8750  0.6250  8 Nb 2.54-2.78
P  0.3750  0.1250  0.2500  8 Nb 2.54-2.78
P  0.3750  0.7500  0.1250  8 Nb 2.54-2.78
P  0.6250  0.2500  0.8750  8 Nb 2.54-2.78
P  0.6250  0.8750  0.7500  8 Nb 2.54-2.78
P  0.7500  0.1250  0.3750  8 Nb 2.54-2.78
P  0.7500  0.6250  0.8750  8 Nb 2.54-2.78
P  0.8750  0.6250  0.2500  8 Nb 2.54-2.78
P  0.8750  0.7500  0.6250  8 Nb 2.54-2.78

VASP energy (hartree per atom): -0.2433
Magnetic moment (μB/cell): 0.0
V (Å³ per cell): 1646.9
Crystal system: cubic
Energy relative to the elements (eV/f.u.): 11.0

---

Record 7
Below is a relaxed AcPrInSn crystal, with properties calculated at the PBE level.

abc: 4.5227 4.8542 12.2789
angles: 90.00 90.00 90.00
Closest atoms and distances in Å follow each position.
Atoms (fractional coordinates):
Ac  0.0000  0.0000  0.0000  3 Sn 3.39-3.67, 4 In 3.41
Ac  0.0000  0.5000  0.5000  3 Sn 3.39-3.67, 4 In 3.41
Pr  0.5000  0.0000  0.7211  4 Sn 3.39, 3 In 3.50-3.58
Pr  0.5000  0.5000  0.2211  4 Sn 3.39, 3 In 3.50-3.58
In  0.5000  0.0000  0.4357  2 Sn 2.99
In  0.5000  0.5000  0.9357  2 Sn 2.99
Sn  0.0000  0.0000  0.2760  2 In 2.99
Sn  0.0000  0.5000  0.7760  2 In 2.99

VASP energy (hartree per atom): -0.1659
Magnetic moment (μB/cell): 0.4
V (Å³ per cell): 269.6
Crystal system: orthorhombic
Energy relative to the elements (eV/f.u.): -2.4

---

Record 8
Below is a relaxed TcNiHg2 crystal, with properties calculated at the PBE level.

abc: 4.9751 2.8053 5.3126
angles: 90.00 112.75 90.00
Closest atoms and distances in Å follow each position.
Atoms (fractional coordinates):
Tc  0.0000  0.0000  0.0000  2 Tc 2.81, 6 Hg 2.85-2.86, 4 Ni 3.00
Ni  0.0000  0.5000  0.5000  2 Ni 2.81, 6 Hg 2.85-2.86, 4 Tc 3.00
Hg  0.5000  0.0000  0.5000  6 Hg 2.81-3.00, 2 Tc 2.85, 4 Ni 2.86
Hg  0.5000  0.5000  0.0000  6 Hg 2.81-3.00, 2 Ni 2.85, 4 Tc 2.86

VASP energy (hartree per atom): -0.1321
Magnetic moment (μB/cell): 0.0
V (Å³ per cell): 68.4
Crystal system: monoclinic
Energy relative to the elements (eV/f.u.): 2.4

---

Record 9
Below is a relaxed CaPPdS2 crystal, with properties calculated at the PBE level.

abc: 5.0155 5.0155 4.3914
angles: 90.00 90.00 90.00
Closest atoms and distances in Å follow each position.
Atoms (fractional coordinates):
Ca  0.0000  0.0000  0.0000  8 S 3.33, 4 P 3.55
P  0.5000  0.5000  0.0000  2 Pd 2.20
Pd  0.5000  0.5000  0.5000  2 P 2.20
S  0.0000  0.5000  0.5000  2 Pd 2.51
S  0.5000  0.0000  0.5000  2 Pd 2.51

VASP energy (hartree per atom): -0.1652
Magnetic moment (μB/cell): 0.0
V (Å³ per cell): 110.5
Crystal system: tetragonal
Raw formation energy (eV per atom): -0.323

---

Q: The highest VASP energy belongs to which entry?
A: TcNiHg2

---

Q: V of number 2 (La7Ga2Ru2)?
A: 319.1 Å³ per cell